Compound: GdThAg2
Source: Alexandria
Functional: PBE-GGA
Structure: relaxed

Properties
Crystal system: tetragonal
Relative energy among the computed polymorphs, meV per atom: 0
Spin magnetization, μB/cell: 7.5

extended XYZ file:
```
4
Lattice="3.625 0.000 0.000 0.000 3.625 0.000 0.000 0.000 7.722" Properties=species:S:1:pos:R:3 pbc="T T T"
Th 1.813 1.813 0.000
Ag 0.000 0.000 2.039
Ag 0.000 0.000 5.683
Gd 1.813 1.813 3.861
```


Compound: TbEr7In4
Source: Alexandria
Functional: PBE-GGA
Structure: relaxed

Properties
Crystal system: monoclinic
Spin magnetization, μB/cell: 0.0
Total DFT energy (no corrections), eV for the cell shown: -48.44

extended XYZ file:
```
12
Lattice="5.620 0.000 0.000 2.810 8.717 0.532 2.810 0.748 7.168" Properties=species:S:1:pos:R:3 pbc="T T T"
Tb 0.000 0.000 0.000
In 8.430 6.526 7.322
In 2.810 2.939 0.378
In 5.620 6.874 3.018
In 5.620 2.592 4.682
Er 5.620 3.106 1.757
Er 5.620 6.360 5.943
Er 2.810 0.000 0.000
Er 8.430 8.053 4.386
Er 2.810 1.412 3.314
Er 8.430 4.010 5.447
Er 2.810 5.455 2.253
```


Compound: YCu2P
Source: Alexandria
Functional: PBE-GGA
Structure: relaxed

Properties
Crystal system: trigonal
Spin magnetization, μB/cell: 0.0
Total DFT energy (no corrections), eV for the cell shown: -22.23

extended XYZ file:
```
4
Lattice="4.000 -0.011 0.006 2.013 3.457 0.006 1.990 1.140 4.853" Properties=species:S:1:pos:R:3 pbc="T T T"
P 4.001 2.292 3.029
Y 2.000 1.146 1.258
Cu 6.004 3.440 3.528
Cu 1.991 1.141 4.337
```


The records above give, respectively, D(E_F) values of 4.38, 12.26, 0.88 states/eV/f.u..